Material: Y2TlGa2
Method: DFT, GGA-PBEsol
State: optimized geometry

```
10
Lattice="4.3226 0.0000 0.0000 0.0000 7.2050 0.0000 0.0000 0.0000 7.2050" Properties=species:S:1:pos:R:3 pbc="T T T"
Tl 0.0000 3.6025 3.6025
Y 2.1613 5.9606 2.3581
Ga 0.0000 2.7126 6.3151
Ga 0.0000 0.8900 2.7126
Y 2.1613 1.2444 4.8469
Y 2.1613 4.8469 5.9606
Ga 0.0000 4.4925 0.8900
Ga 0.0000 6.3151 4.4925
Y 2.1613 2.3581 1.2444
Tl 0.0000 0.0000 0.0000
```

ρ (kg/m3): 7720
DFT formation energy (meV per atom): -616
Magnetic moment (μB per atom): 0.000